SrIr2Os (PBE, optimized geometry); formation energy from the elements = 2.1 eV per formula unit; energy above the most stable polymorph in this dataset = 0.2810 eV per atom; DOS(E_F) = 5.96 states/eV per cell; symmetry = No. 65
1.0
5.941 0.000 0.000
0.000 8.147 0.000
0.000 0.000 2.828
Sr Ir Os
2 4 2
direct
0.000 0.000 0.000 Sr
0.500 0.500 0.000 Sr
0.250 0.250 0.500 Ir
0.250 0.750 0.500 Ir
0.750 0.250 0.500 Ir
0.750 0.750 0.500 Ir
0.000 0.500 0.000 Os
0.500 0.000 0.000 Os